The following is a DFT calculation (PBE-GGA) of a geometry-optimized MgAgIr3 structure.

Properties
E above lowest polymorph = 0 meV per atom

abc: 4.522 4.522 4.522
angles: 90.00 90.00 90.00
Sites, in units of the cell vectors:
Mg  0.000  0.000  0.000
Ir  0.000  0.500  0.000
Ir  0.000  0.000  0.500
Ir  0.500  0.000  0.000
Ag  0.500  0.500  0.500

=====

The following is a DFT calculation (PBE-GGA) of a geometry-optimized Mg2AgIr structure.

Properties
E above lowest polymorph = 157 meV per atom

abc: 9.101 9.101 9.101
angles: 18.80 18.80 18.80
Each line ends with the local moment (μB).
Sites, in units of the cell vectors:
Ag  0.250  0.250  0.250  0.00
Ir  0.750  0.750  0.750  0.22
Mg  0.005  0.005  0.005  0.00
Mg  0.495  0.495  0.495  0.00

=====

The following is a DFT calculation (PBE-GGA) of a geometry-optimized MgAg2Ir2 structure.

Properties
E above lowest polymorph = 0 meV per atom

abc: 7.613 7.613 3.056
angles: 90.00 90.00 90.00
Sites, in units of the cell vectors:
Mg  0.000  0.000  0.000
Mg  0.500  0.500  0.000
Ir  0.382  0.882  0.000
Ir  0.882  0.618  0.000
Ir  0.618  0.118  0.000
Ir  0.118  0.382  0.000
Ag  0.180  0.680  0.500
Ag  0.680  0.820  0.500
Ag  0.820  0.320  0.500
Ag  0.320  0.180  0.500

=====

The following is a DFT calculation (PBE-GGA) of a geometry-optimized Mg7Ag2Ir2 structure.

abc: 6.124 6.502 6.124
angles: 89.96 101.24 90.04
Sites, in units of the cell vectors:
Mg  0.000  0.258  0.500
Mg  0.500  0.742  0.000
Mg  0.000  0.742  0.500
Mg  0.500  0.258  0.000
Mg  0.000  0.000  0.000
Mg  0.500  0.751  0.500
Mg  0.500  0.249  0.500
Ag  0.817  0.500  0.817
Ag  0.183  0.500  0.183
Ir  0.720  0.000  0.280
Ir  0.280  0.000  0.720

=====

The following is a DFT calculation (PBE-GGA) of a geometry-optimized MgAgIr2 structure.

abc: 4.755 4.755 4.755
angles: 129.26 129.26 74.60
Sites, in units of the cell vectors:
Ag  0.750  0.250  0.500
Ir  0.000  0.000  0.000
Ir  0.250  0.750  0.500
Mg  0.500  0.500  0.000

=====

The following is a DFT calculation (PBE-GGA) of a geometry-optimized MgAgIr2 structure.

abc: 2.748 2.748 8.359
angles: 90.00 90.00 90.00
Sites, in units of the cell vectors:
Ag  0.500  0.500  0.750
Ir  0.000  0.000  0.010
Ir  0.000  0.000  0.490
Mg  0.500  0.500  0.250

=====

The following is a DFT calculation (PBE-GGA) of a geometry-optimized Mg2AgIr structure.

Properties
E above lowest polymorph = 19 meV per atom

abc: 4.539 3.193 4.539
angles: 89.98 90.00 90.00
Sites, in units of the cell vectors:
Mg  0.000  0.125  0.875
Mg  0.500  0.125  0.375
Ir  0.500  0.625  0.875
Ag  0.000  0.625  0.375

=====

The following is a DFT calculation (PBE-GGA) of a geometry-optimized Mg2AgIr structure.

Properties
E above lowest polymorph = 18 meV per atom

abc: 4.538 4.538 4.538
angles: 60.00 60.00 60.00
Sites, in units of the cell vectors:
Mg  0.250  0.250  0.250
Mg  0.750  0.750  0.750
Ir  0.500  0.500  0.500
Ag  0.000  0.000  0.000

=====

The following is a DFT calculation (PBE-GGA) of a geometry-optimized Mg8AgIr2 structure.

abc: 4.446 6.848 7.662
angles: 111.88 106.87 90.00
Sites, in units of the cell vectors:
Mg  0.379  0.547  0.758
Mg  0.677  0.916  0.353
Mg  0.832  0.764  0.665
Mg  0.966  0.267  0.932
Mg  0.168  0.236  0.335
Mg  0.323  0.084  0.647
Mg  0.621  0.453  0.242
Mg  0.034  0.733  0.068
Ag  0.500  0.000  0.000
Ir  0.796  0.335  0.591
Ir  0.204  0.665  0.409

=====

The following is a DFT calculation (PBE-GGA) of a geometry-optimized MgMnAgIr structure.

abc: 4.470 4.470 4.470
angles: 60.00 60.00 60.00
Each line ends with the local moment (μB).
Sites, in units of the cell vectors:
Mn  0.000  0.000  0.000  3.77
Mg  0.500  0.500  0.500  0.00
Ir  0.750  0.750  0.750  0.28
Ag  0.250  0.250  0.250  0.04

=====

The following is a DFT calculation (PBE-GGA) of a geometry-optimized NdMgAgIr structure.

abc: 4.901 4.901 4.901
angles: 60.00 60.00 60.00
Sites, in units of the cell vectors:
Mg  0.000  0.000  0.000
Ir  0.250  0.250  0.250
Nd  0.500  0.500  0.500
Ag  0.750  0.750  0.750

=====

The following is a DFT calculation (PBE-GGA) of a geometry-optimized MgAg2IrOs structure.

abc: 5.059 4.668 5.059
angles: 90.00 90.00 90.00
Each line ends with the local moment (μB).
Sites, in units of the cell vectors:
Mg  0.500  0.500  0.500  -0.01
Ir  0.000  0.000  0.000  0.11
Os  0.000  0.500  0.000  0.75
Ag  0.000  0.000  0.500  0.03
Ag  0.500  0.000  0.000  0.02

=====

The following is a DFT calculation (PBE-GGA) of a geometry-optimized PmMgAgIr structure.

abc: 4.877 4.877 4.877
angles: 60.00 60.00 60.00
Sites, in units of the cell vectors:
Mg  0.500  0.500  0.500
Ir  0.750  0.750  0.750
Ag  0.250  0.250  0.250
Pm  0.000  0.000  0.000

=====

The following is a DFT calculation (PBE-GGA) of a geometry-optimized MgAg2IrPt structure.

abc: 5.079 4.788 5.079
angles: 90.00 90.00 90.00
Sites, in units of the cell vectors:
Mg  0.500  0.500  0.500
Ir  0.000  0.000  0.000
Ag  0.000  0.000  0.500
Ag  0.500  0.000  0.000
Pt  0.000  0.500  0.000

=====

The following is a DFT calculation (PBE-GGA) of a geometry-optimized Mg2Sc5AgIr2 structure.

abc: 3.571 10.976 10.976
angles: 90.00 90.00 90.00
Sites, in units of the cell vectors:
Mg  0.000  0.673  0.173
Mg  0.000  0.327  0.827
Mg  0.000  0.173  0.327
Mg  0.000  0.827  0.673
Sc  0.500  0.203  0.075
Sc  0.500  0.797  0.925
Sc  0.500  0.075  0.797
Sc  0.500  0.703  0.425
Sc  0.500  0.925  0.203
Sc  0.500  0.297  0.575
Sc  0.500  0.575  0.703
Sc  0.500  0.425  0.297
Sc  0.500  0.500  0.000
Sc  0.500  0.000  0.500
Ag  0.000  0.000  0.000
Ag  0.000  0.500  0.500
Ir  0.000  0.130  0.630
Ir  0.000  0.870  0.370
Ir  0.000  0.630  0.870
Ir  0.000  0.370  0.130

=====

The following is a DFT calculation (PBE-GGA) of a geometry-optimized SmMgAgIr structure.

abc: 4.860 4.860 4.860
angles: 60.00 60.00 60.00
Sites, in units of the cell vectors:
Mg  0.000  0.000  0.000
Ir  0.750  0.750  0.750
Ag  0.250  0.250  0.250
Sm  0.500  0.500  0.500

=====

The following is a DFT calculation (PBE-GGA) of a geometry-optimized MgAgSnIr structure.

abc: 4.639 4.639 4.639
angles: 60.00 60.00 60.00
Sites, in units of the cell vectors:
Mg  0.750  0.750  0.750
Ir  0.000  0.000  0.000
Sn  0.250  0.250  0.250
Ag  0.500  0.500  0.500

=====

The following is a DFT calculation (PBE-GGA) of a geometry-optimized Mg5AgSn2Ir2 structure.

abc: 4.333 9.455 9.455
angles: 90.00 90.00 90.00
Sites, in units of the cell vectors:
Mg  0.500  0.206  0.079
Mg  0.500  0.794  0.921
Mg  0.500  0.079  0.794
Mg  0.500  0.706  0.421
Mg  0.500  0.921  0.206
Mg  0.500  0.294  0.579
Mg  0.500  0.579  0.706
Mg  0.500  0.421  0.294
Mg  0.500  0.500  0.000
Mg  0.500  0.000  0.500
Ag  0.000  0.000  0.000
Ag  0.000  0.500  0.500
Sn  0.000  0.671  0.171
Sn  0.000  0.329  0.829
Sn  0.000  0.171  0.329
Sn  0.000  0.829  0.671
Ir  0.000  0.121  0.621
Ir  0.000  0.879  0.379
Ir  0.000  0.621  0.879
Ir  0.000  0.379  0.121

=====

The following is a DFT calculation (PBE-GGA) of a geometry-optimized Sr2MgAgIr structure.

abc: 5.831 5.831 5.015
angles: 90.00 90.00 90.00
Sites, in units of the cell vectors:
Sr  0.000  0.500  0.000
Sr  0.500  0.000  0.000
Mg  0.500  0.500  0.500
Ir  0.000  0.000  0.500
Ag  0.000  0.000  0.000

=====

The following is a DFT calculation (PBE-GGA) of a geometry-optimized TbMgAgIr structure.

abc: 4.805 4.805 4.805
angles: 60.00 60.00 60.00
Sites, in units of the cell vectors:
Mg  0.000  0.000  0.000
Ir  0.750  0.750  0.750
Tb  0.500  0.500  0.500
Ag  0.250  0.250  0.250

=====

Number 1: VASP energy -4.534 eV/atom, mass density 12.7 g/cm3. Number 2: VASP energy -3.879 eV/atom, mass density 8.5 g/cm3. Number 3: VASP energy -4.567 eV/atom, mass density 11.7 g/cm3. Number 4: VASP energy -3.178 eV/atom, mass density 5.3 g/cm3. Number 5: VASP energy -5.428 eV/atom, mass density 13.7 g/cm3. Number 6: VASP energy -5.373 eV/atom, mass density 13.6 g/cm3. Number 7: VASP energy -4.017 eV/atom, mass density 8.8 g/cm3. Number 8: VASP energy -4.018 eV/atom, mass density 8.8 g/cm3. Number 9: VASP energy -3.286 eV/atom, mass density 5.5 g/cm3. Number 10: VASP energy -5.699 eV/atom, mass density 10.0 g/cm3. Number 11: VASP energy -4.838 eV/atom, mass density 9.3 g/cm3. Number 12: VASP energy -4.270 eV/atom, mass density 8.7 g/cm3. Number 13: VASP energy -4.862 eV/atom, mass density 9.5 g/cm3. Number 14: VASP energy -3.610 eV/atom, mass density 8.4 g/cm3. Number 15: VASP energy -6.019 eV/atom, mass density 5.9 g/cm3. Number 16: VASP energy -4.872 eV/atom, mass density 9.7 g/cm3. Number 17: VASP energy -4.495 eV/atom, mass density 10.4 g/cm3. Number 18: VASP energy -3.878 eV/atom, mass density 7.3 g/cm3. Number 19: VASP energy -2.887 eV/atom, mass density 4.9 g/cm3. Number 20: VASP energy -4.915 eV/atom, mass density 10.2 g/cm3.